A relaxed LiPr2ScTe5 crystal. Source: the Alexandria database, functional GGA-PBE.

Summary:
Crystal system: orthorhombic
Volume (Å³ per atom): 29.61
SG: No. 36
E_form (uncorrected) (meV/atom): -1296

Cell: 9.6006 9.6006 13.0400 Å, 90.00 90.00 153.68°
Positions (direct):
1 Li 0.0656 0.9344 0.5000
2 Li 0.9344 0.0656 0.0000
3 Pr 0.3719 0.6281 0.3427
4 Pr 0.3932 0.6068 0.7264
5 Pr 0.6068 0.3932 0.2264
6 Pr 0.6281 0.3719 0.8427
7 Sc 0.3050 0.6950 0.0514
8 Sc 0.6950 0.3050 0.5514
9 Te 0.0021 0.9979 0.8232
10 Te 0.1457 0.8543 0.0389
11 Te 0.1929 0.8071 0.3909
12 Te 0.2176 0.7824 0.7012
13 Te 0.4497 0.5503 0.1077
14 Te 0.5503 0.4497 0.6077
15 Te 0.7824 0.2176 0.2012
16 Te 0.8071 0.1929 0.8909
17 Te 0.8543 0.1457 0.5389
18 Te 0.9979 0.0021 0.3232